Record 1
Here is a geometry-optimized Zn2Cu structure from the Alexandria database. Energies are from GGA-PBEsol.

Cell lengths 4.194, 4.194, 5.069 Å; angles 90.00, 90.00, 120.00 degrees
Fractional coordinates of all 6 atoms:
Cu 0.667 0.333 0.750
Cu 0.333 0.667 0.250
Zn 0.000 0.000 0.000
Zn 0.000 0.000 0.500
Zn 0.667 0.333 0.250
Zn 0.333 0.667 0.750

Properties
V	77.2	Å³ per cell
total energy	-0.0935	hartree per atom
DFT formation energy	-44	meV per atom

---

Record 2
Here is a geometry-optimized Zn8Cu5 structure from the Alexandria database. Energies are from GGA-PBEsol.

Cell lengths 7.538, 7.538, 7.538 Å; angles 109.47, 109.47, 109.47 degrees
Fractional coordinates of all 26 atoms:
Cu 0.000 0.000 0.656
Cu 0.656 0.000 0.000
Cu 0.344 0.344 0.344
Cu 0.000 0.656 0.000
Cu 0.000 0.356 0.356
Cu 0.000 0.644 0.644
Cu 0.644 0.644 0.000
Cu 0.356 0.356 0.000
Cu 0.356 0.000 0.356
Cu 0.644 0.000 0.644
Zn 0.000 0.000 0.219
Zn 0.219 0.000 0.000
Zn 0.781 0.781 0.781
Zn 0.000 0.219 0.000
Zn 0.721 0.000 0.348
Zn 0.348 0.000 0.721
Zn 0.652 0.373 0.652
Zn 0.279 0.627 0.279
Zn 0.000 0.721 0.348
Zn 0.000 0.348 0.721
Zn 0.627 0.279 0.279
Zn 0.373 0.652 0.652
Zn 0.279 0.279 0.627
Zn 0.652 0.652 0.373
Zn 0.721 0.348 0.000
Zn 0.348 0.721 0.000

Properties
V	329.7	Å³ per cell
total energy	-0.1015	hartree per atom
DFT formation energy	-121	meV per atom

---

Record 3
Here is a geometry-optimized ZrZnCu2 structure from the Alexandria database. Energies are from GGA-PBEsol.

Cell lengths 4.330, 4.330, 4.330 Å; angles 60.00, 60.00, 60.00 degrees
Fractional coordinates of all 4 atoms:
Zn 0.500 0.500 0.500
Zr 0.250 0.250 0.250
Cu 0.000 0.000 0.000
Cu 0.750 0.750 0.750

Properties
V	57.4	Å³ per cell
total energy	-0.1838	hartree per atom
DFT formation energy	-168	meV per atom

---

Record 4
Here is a geometry-optimized ZrZn2Cu structure from the Alexandria database. Energies are from GGA-PBEsol.

Cell lengths 2.632, 5.364, 5.299 Å; angles 116.88, 97.96, 102.55 degrees
Fractional coordinates of all 4 atoms:
Cu 0.500 0.000 0.000
Zn 0.500 0.500 0.500
Zn 0.000 0.000 0.500
Zr 0.000 0.500 0.000

Properties
V	62.7	Å³ per cell
total energy	-0.1505	hartree per atom
DFT formation energy	51	meV per atom

---

Record 5
Here is a geometry-optimized ZrZn2Cu structure from the Alexandria database. Energies are from GGA-PBEsol.

Cell lengths 4.388, 4.388, 4.388 Å; angles 60.00, 60.00, 60.00 degrees
Fractional coordinates of all 4 atoms:
Zn 0.750 0.750 0.750
Zn 0.000 0.000 0.000
Cu 0.500 0.500 0.500
Zr 0.250 0.250 0.250

Properties
V	59.7	Å³ per cell
total energy	-0.1610	hartree per atom
DFT formation energy	-233	meV per atom

---

Record 6
Here is a geometry-optimized ZrZnCu2 structure from the Alexandria database. Energies are from GGA-PBEsol.

Cell lengths 2.700, 4.063, 5.501 Å; angles 90.00, 104.30, 90.00 degrees
Fractional coordinates of all 4 atoms:
Cu 0.820 0.000 0.014
Cu 0.945 0.500 0.266
Zn 0.534 0.000 0.442
Zr 0.201 0.500 0.778

Properties
V	58.5	Å³ per cell
total energy	-0.1800	hartree per atom
DFT formation energy	-63	meV per atom

---

Record 7
Here is a geometry-optimized ZrZn20Cu2 structure from the Alexandria database. Energies are from GGA-PBEsol.

Cell lengths 9.712, 9.712, 9.712 Å; angles 60.00, 60.00, 60.00 degrees
Fractional coordinates of all 46 atoms:
Zr 0.000 0.000 0.000
Zr 0.250 0.250 0.250
Zn 0.325 0.804 0.804
Zn 0.804 0.325 0.068
Zn 0.804 0.068 0.325
Zn 0.068 0.804 0.804
Zn 0.325 0.068 0.804
Zn 0.804 0.804 0.325
Zn 0.804 0.804 0.068
Zn 0.068 0.325 0.804
Zn 0.325 0.804 0.068
Zn 0.804 0.068 0.804
Zn 0.804 0.325 0.804
Zn 0.068 0.804 0.325
Zn 0.925 0.446 0.446
Zn 0.446 0.925 0.182
Zn 0.446 0.182 0.925
Zn 0.182 0.446 0.446
Zn 0.925 0.182 0.446
Zn 0.446 0.446 0.925
Zn 0.446 0.446 0.182
Zn 0.182 0.925 0.446
Zn 0.925 0.446 0.182
Zn 0.446 0.182 0.446
Zn 0.446 0.925 0.446
Zn 0.182 0.446 0.925
Zn 0.638 0.638 0.362
Zn 0.362 0.362 0.638
Zn 0.638 0.362 0.638
Zn 0.362 0.638 0.362
Zn 0.638 0.362 0.362
Zn 0.362 0.638 0.638
Zn 0.612 0.612 0.888
Zn 0.888 0.888 0.612
Zn 0.612 0.888 0.612
Zn 0.888 0.612 0.888
Zn 0.612 0.888 0.888
Zn 0.888 0.612 0.612
Zn 0.125 0.125 0.125
Zn 0.125 0.125 0.625
Zn 0.125 0.625 0.125
Zn 0.625 0.125 0.125
Cu 0.625 0.625 0.625
Cu 0.625 0.625 0.125
Cu 0.625 0.125 0.625
Cu 0.125 0.625 0.625

Properties
V	647.7	Å³ per cell
total energy	-0.0835	hartree per atom
DFT formation energy	-125	meV per atom

---

Record 8
Here is a geometry-optimized ZrZn2Cu structure from the Alexandria database. Energies are from GGA-PBEsol.

Cell lengths 2.885, 4.606, 5.390 Å; angles 115.30, 105.52, 90.00 degrees
Fractional coordinates of all 4 atoms:
Cu 0.000 0.500 0.000
Zn 0.724 0.724 0.447
Zn 0.276 0.276 0.553
Zr 0.500 0.000 0.000

Properties
V	61.9	Å³ per cell
total energy	-0.1546	hartree per atom
DFT formation energy	-59	meV per atom